CuAs2BrCl: optimized geometry, GGA-PBE.

Properties
Total moment (μB/f.u.): 0.00
Uncorrected formation energy (meV/atom): 482
E above lowest polymorph (meV/atom): 0.0
Fermi-level density of states (states/eV per atom): 0.819

abc: 4.805 4.805 4.946
angles: 90.00 90.00 90.00
Fractional coordinates of all 5 atoms:
As1 0.000 0.500 0.000
Br1 0.000 0.000 0.500
Cu1 0.000 0.000 0.000
Cl1 0.500 0.500 0.500
As2 0.500 0.000 0.000